Entry 1:
The following is a DFT calculation (PBE-GGA) of a geometry-optimized PrEuPdPb structure.

a = 7.655 Å, b = 7.655 Å, c = 7.655 Å
α = 90.00°, β = 90.00°, γ = 90.00°
Space group F-43m (No. 216)
Unique sites:
Pr (0.000, 0.000, 0.000) [4 per cell]
Eu (0.000, 0.000, 0.500) [4 per cell]
Pd (0.250, 0.250, 0.250) [4 per cell]
Pb (0.250, 0.250, 0.750) [4 per cell]

=====

Entry 2:
The following is a DFT calculation (PBE-GGA) of a geometry-optimized K4In4Hg structure.

a = 5.661 Å, b = 5.661 Å, c = 22.760 Å
α = 90.00°, β = 90.00°, γ = 90.00°
Space group I-42m (No. 121)
Unique sites:
K (0.224, 0.224, 0.388) [8 per cell]
In (0.205, 0.205, 0.216) [8 per cell]
Hg (0.000, 0.000, 0.000) [2 per cell]

=====

Entry 3:
The following is a DFT calculation (PBE-GGA) of a geometry-optimized La2TiSn3Pt4 structure.

a = 4.600 Å, b = 4.600 Å, c = 10.632 Å
α = 90.00°, β = 90.00°, γ = 90.00°
Space group P-4m2 (No. 115)
Unique sites:
La (0.000, 0.500, 0.246) [2 per cell]
Ti (0.000, 0.000, 0.500) [1 per cell]
Sn (0.000, 0.500, 0.870) [2 per cell]
Sn (0.500, 0.500, 0.500) [1 per cell]
Pt (0.000, 0.000, 0.000) [1 per cell]
Pt (0.000, 0.500, 0.626) [2 per cell]
Pt (0.500, 0.500, 0.000) [1 per cell]

=====

Entry 4:
The following is a DFT calculation (PBE-GGA) of a geometry-optimized Ac2RhAu structure.

a = 4.3195 Å, b = 4.3195 Å, c = 23.0286 Å
α = 90.00°, β = 90.00°, γ = 120.00°
Space group R3m (No. 160, hexagonal axes)
Unique sites:
Ac (0.0000, 0.0000, 0.0000) [3 per cell]
Ac (0.0000, 0.0000, 0.1880) [3 per cell]
Rh (0.0000, 0.0000, 0.5942) [3 per cell]
Au (0.0000, 0.0000, 0.4277) [3 per cell]

=====

Looking at density of states at the Fermi level for the records above, in order, we have 13.5; 4.4; 7.0; 1.6 states/eV/f.u..
Looking at uncorrected energy for the records above, in order, we have -104.54; -32.18; -62.88; -65.51 eV/cell.
Looking at DFT formation energy for the records above, in order, we have -0.54; -0.05; -0.90; -0.75 eV per atom.